Record 1
# KNbB3 PBE optimized geometry
# - ΔE_f (eV/f.u.) = 15.84
# - ΔE to the lowest computed polymorph (meV per atom) = 1978
data_KNbB3
_space_group_name_H-M_alt 'P m -3 m'
_space_group_IT_number 221
_space_group_name_Hall '-P 4 2 3'
_cell_length_a 4.134
_cell_length_b 4.134
_cell_length_c 4.134
_cell_angle_alpha 90.00
_cell_angle_beta 90.00
_cell_angle_gamma 90.00
loop_
_atom_site_label
_atom_site_type_symbol
_atom_site_fract_x
_atom_site_fract_y
_atom_site_fract_z
K1 K 0.000 0.000 0.000
Nb1 Nb 0.500 0.500 0.500
B1 B 0.000 0.000 0.500

Record 2
# K3NbB PBE optimized geometry
# - ΔE_f (eV/f.u.) = 9.84
# - ΔE to the lowest computed polymorph (meV per atom) = 0
data_K3NbB
_space_group_name_H-M_alt 'P m -3 m'
_space_group_IT_number 221
_space_group_name_Hall '-P 4 2 3'
_cell_length_a 6.003
_cell_length_b 6.003
_cell_length_c 6.003
_cell_angle_alpha 90.00
_cell_angle_beta 90.00
_cell_angle_gamma 90.00
loop_
_atom_site_label
_atom_site_type_symbol
_atom_site_fract_x
_atom_site_fract_y
_atom_site_fract_z
K1 K 0.000 0.000 0.500
Nb1 Nb 0.500 0.500 0.500
B1 B 0.000 0.000 0.000

Record 3
# K3Nb3B2O12 PBE optimized geometry
# - uncorrected formation energy (eV/f.u.) = -49.368
data_K3Nb3B2O12
_space_group_name_H-M_alt 'P m c 21'
_space_group_IT_number 26
_cell_length_a 15.429
_cell_length_b 4.050
_cell_length_c 17.809
_cell_angle_alpha 90.00
_cell_angle_beta 90.00
_cell_angle_gamma 90.00
loop_
_space_group_symop_operation_xyz
'x,y,z'
'-x,-y,z+1/2'
'-x,y,z'
'x,-y,z+1/2'
loop_
_atom_site_label
_atom_site_type_symbol
_atom_site_fract_x
_atom_site_fract_y
_atom_site_fract_z
K1 K 0.000 0.007 0.000
K2 K 0.201 0.010 0.698
K3 K 0.299 0.003 0.948
K4 K 0.500 0.017 0.750
Nb1 Nb 0.000 0.478 0.175
Nb2 Nb 0.124 0.475 0.361
Nb3 Nb 0.376 0.464 0.111
Nb4 Nb 0.500 0.457 0.425
B1 B 0.167 0.496 0.549
B2 B 0.333 0.490 0.799
O1 O 0.000 0.021 0.167
O2 O 0.000 0.489 0.888
O3 O 0.090 0.488 0.754
O4 O 0.094 0.475 0.593
O5 O 0.131 0.018 0.364
O6 O 0.158 0.478 0.972
O7 O 0.248 0.492 0.581
O8 O 0.252 0.479 0.831
O9 O 0.342 0.490 0.722
O10 O 0.369 0.007 0.114
O11 O 0.406 0.500 0.344
O12 O 0.410 0.496 0.504
O13 O 0.500 0.000 0.418
O14 O 0.500 0.500 0.138

Record 4
# KNbBO5 PBE optimized geometry
# - uncorrected formation energy (eV/f.u.) = -16.388
data_KNbBO5
_space_group_name_H-M_alt 'C 1 2/c 1'
_space_group_IT_number 15
_cell_length_a 6.841
_cell_length_b 8.889
_cell_length_c 7.430
_cell_angle_alpha 90.00
_cell_angle_beta 116.71
_cell_angle_gamma 90.00
loop_
_space_group_symop_operation_xyz
'x,y,z'
'-x,-y,-z'
'-x,y,-z+1/2'
'x,-y,z+1/2'
'x+1/2,y+1/2,z'
'-x+1/2,-y+1/2,-z'
'-x+1/2,y+1/2,-z+1/2'
'x+1/2,-y+1/2,z+1/2'
loop_
_atom_site_label
_atom_site_type_symbol
_atom_site_fract_x
_atom_site_fract_y
_atom_site_fract_z
K1 K 0.000 0.084 0.250
Nb1 Nb 0.250 0.250 0.000
B1 B 0.000 0.443 0.250
O1 O 0.000 0.189 0.750
O2 O 0.060 0.340 0.124
O3 O 0.192 0.461 0.878

Record 5
# K3Nb3B2O12 PBE optimized geometry
# - uncorrected formation energy (eV/f.u.) = -49.367
data_K3Nb3B2O12
_space_group_name_H-M_alt 'P 3 1 m'
_space_group_IT_number 157
_cell_length_a 8.9088
_cell_length_b 8.9088
_cell_length_c 4.0487
_cell_angle_alpha 90.00
_cell_angle_beta 90.00
_cell_angle_gamma 120.00
loop_
_space_group_symop_operation_xyz
'x,y,z'
'-y,x-y,z'
'-x+y,-x,z'
'y,x,z'
'x-y,-y,z'
'-x,-x+y,z'
loop_
_atom_site_label
_atom_site_type_symbol
_atom_site_fract_x
_atom_site_fract_y
_atom_site_fract_z
K1 K 0.0000 0.5974 0.0000
Nb1 Nb 0.0000 0.2470 0.5214
B1 B 0.3333 0.6667 0.4773
O1 O 0.0000 0.2622 0.9785
O2 O 0.0000 0.8206 0.4849
O3 O 0.1880 0.5044 0.4766

Record 6
# K2RbNbB PBE optimized geometry
# - ΔE_f (eV/f.u.) = 5.45
data_K2RbNbB
_space_group_name_H-M_alt 'P 4/m m m'
_space_group_IT_number 123
_space_group_name_Hall '-P 4 2'
_cell_length_a 6.947
_cell_length_b 6.947
_cell_length_c 4.322
_cell_angle_alpha 90.00
_cell_angle_beta 90.00
_cell_angle_gamma 90.00
loop_
_atom_site_label
_atom_site_type_symbol
_atom_site_fract_x
_atom_site_fract_y
_atom_site_fract_z
K1 K 0.000 0.500 0.000
Rb1 Rb 0.000 0.000 0.500
Nb1 Nb 0.500 0.500 0.000
B1 B 0.500 0.500 0.500